A geometry-optimized Mg2InFe structure. Source: Alexandria via LeMat-Bulk, functional PBE. Values from VASP.

Its electronic total energy is -3.417 eV per atom.

Geometry as Quantum ESPRESSO input:
```
&SYSTEM
  ibrav = 0, nat = 4, ntyp = 3
/
ATOMIC_SPECIES
Mg 24.30 Mg.upf
In 114.82 In.upf
Fe 55.84 Fe.upf
ATOMIC_POSITIONS angstrom
Mg 2.0350 0.0000 2.2242
Mg 0.0000 2.0350 2.2242
In 0.0000 0.0000 0.0000
Fe 0.0000 0.0000 4.4483
CELL_PARAMETERS angstrom
-2.0350 2.0350 4.4483
2.0350 -2.0350 4.4483
2.0350 2.0350 -4.4483
```

=====

A geometry-optimized MgIn2Fe structure. Source: Alexandria via LeMat-Bulk, functional PBE. Values from VASP.

Its electronic total energy is -3.695 eV per atom.

Geometry as Quantum ESPRESSO input:
```
&SYSTEM
  ibrav = 0, nat = 4, ntyp = 3
/
ATOMIC_SPECIES
Mg 24.30 Mg.upf
In 114.82 In.upf
Fe 55.84 Fe.upf
ATOMIC_POSITIONS angstrom
Mg 0.0000 0.0000 0.0000
In 0.0000 0.0000 6.7138
In 0.0000 0.0000 20.8614
Fe 0.0000 0.0000 13.7876
CELL_PARAMETERS angstrom
1.6018 0.9248 9.1917
-1.6018 0.9248 9.1917
0.0000 -1.8495 9.1917
```

=====

A geometry-optimized Mg2InFe structure. Source: Alexandria via LeMat-Bulk, functional PBE. Values from VASP.

Its electronic total energy is -3.393 eV per atom.

Geometry as Quantum ESPRESSO input:
```
&SYSTEM
  ibrav = 0, nat = 4, ntyp = 3
/
ATOMIC_SPECIES
Mg 24.30 Mg.upf
In 114.82 In.upf
Fe 55.84 Fe.upf
ATOMIC_POSITIONS angstrom
Mg 0.0000 0.0000 0.0000
Mg 1.6581 1.6581 1.6581
In 4.9742 4.9742 4.9742
Fe 3.3161 3.3161 3.3161
CELL_PARAMETERS angstrom
0.0000 3.3161 3.3161
3.3161 0.0000 3.3161
3.3161 3.3161 0.0000
```

=====

A geometry-optimized Mg2InFe structure. Source: Alexandria via LeMat-Bulk, functional PBE. Values from VASP.

Its electronic total energy is -3.462 eV per atom.

Geometry as Quantum ESPRESSO input:
```
&SYSTEM
  ibrav = 0, nat = 4, ntyp = 3
/
ATOMIC_SPECIES
Mg 24.30 Mg.upf
In 114.82 In.upf
Fe 55.84 Fe.upf
ATOMIC_POSITIONS angstrom
Mg 0.0000 0.0000 1.8053
Mg 0.0000 0.0000 6.7660
In 1.4898 1.4898 4.2857
Fe 1.4898 1.4898 0.0000
CELL_PARAMETERS angstrom
2.9796 0.0000 0.0000
0.0000 2.9796 0.0000
0.0000 0.0000 8.5714
```

=====

A geometry-optimized MgInFe2 structure. Source: Alexandria via LeMat-Bulk, functional PBE. Values from VASP.

Its electronic total energy is -5.216 eV per atom.

Geometry as Quantum ESPRESSO input:
```
&SYSTEM
  ibrav = 0, nat = 4, ntyp = 3
/
ATOMIC_SPECIES
Mg 24.30 Mg.upf
In 114.82 In.upf
Fe 55.84 Fe.upf
ATOMIC_POSITIONS angstrom
Mg 0.0000 0.0000 0.0000
In 1.5663 1.5663 4.5207
Fe 0.0000 0.0000 2.7444
Fe 1.5663 1.5663 1.6842
CELL_PARAMETERS angstrom
3.1326 0.0000 0.0000
0.0000 3.1326 0.0000
0.0000 0.0000 6.7069
```

=====

A geometry-optimized MgIn2Fe structure. Source: Alexandria via LeMat-Bulk, functional PBE. Values from VASP.

Its electronic total energy is -3.715 eV per atom.

Geometry as Quantum ESPRESSO input:
```
&SYSTEM
  ibrav = 0, nat = 4, ntyp = 3
/
ATOMIC_SPECIES
Mg 24.30 Mg.upf
In 114.82 In.upf
Fe 55.84 Fe.upf
ATOMIC_POSITIONS angstrom
Mg 0.0000 0.0000 0.0000
In 1.5228 1.5228 2.3704
In 1.5228 1.5228 6.1015
Fe 0.0000 0.0000 4.2359
CELL_PARAMETERS angstrom
3.0457 0.0000 0.0000
0.0000 3.0457 0.0000
0.0000 0.0000 8.4718
```

=====

A geometry-optimized MgInFe2 structure. Source: Alexandria via LeMat-Bulk, functional PBE. Values from VASP.

Its electronic total energy is -4.727 eV per atom.

Geometry as Quantum ESPRESSO input:
```
&SYSTEM
  ibrav = 0, nat = 8, ntyp = 3
/
ATOMIC_SPECIES
Mg 24.30 Mg.upf
In 114.82 In.upf
Fe 55.84 Fe.upf
ATOMIC_POSITIONS angstrom
Mg 0.0000 0.0000 0.0000
Mg 0.0000 3.5772 1.3573
In 3.5772 0.0000 1.3573
In 0.0000 0.0000 2.7146
Fe 5.3658 1.7880 -0.6786
Fe 1.7880 1.7886 0.6786
Fe -1.7886 1.7892 2.0359
Fe 1.7892 1.7886 3.3932
CELL_PARAMETERS angstrom
-3.5772 3.5772 2.7146
3.5772 -3.5772 2.7146
3.5772 3.5772 -2.7146
```

=====

A geometry-optimized Mg3InFe structure. Source: Alexandria via LeMat-Bulk, functional PBE. Values from VASP.

Its electronic total energy is -2.707 eV per atom. Its polymorph energy (0 for the lowest one) is 0.00 eV per formula unit.

Geometry as Quantum ESPRESSO input:
```
&SYSTEM
  ibrav = 0, nat = 5, ntyp = 3
/
ATOMIC_SPECIES
Mg 24.30 Mg.upf
In 114.82 In.upf
Fe 55.84 Fe.upf
ATOMIC_POSITIONS angstrom
Mg 0.0000 0.0000 2.4741
Mg 0.0000 2.4741 0.0000
Mg 2.4741 0.0000 0.0000
In 2.4741 2.4741 2.4741
Fe 0.0000 0.0000 0.0000
CELL_PARAMETERS angstrom
4.9482 0.0000 0.0000
0.0000 4.9482 0.0000
0.0000 0.0000 4.9482
```